Run P
This record from Alexandria describes crystalline Zr5W3 at its relaxed geometry. The functional is PBE-GGA.

```
Zr5W3
1.0
8.1412 0.0000 0.0000
4.0706 7.0505 0.0000
0.0000 0.0000 5.7708
Zr W
10 6
direct
0.7498 0.2502 0.2500
0.2502 0.7498 0.7500
0.2502 0.0000 0.2500
0.0000 0.2502 0.7500
0.6667 0.6667 0.0000
0.6667 0.6667 0.5000
0.3333 0.3333 0.0000
0.3333 0.3333 0.5000
0.7498 0.0000 0.7500
0.0000 0.7498 0.2500
0.6047 0.3953 0.7500
0.3954 0.6047 0.2500
0.3953 0.0000 0.7500
0.0000 0.3953 0.2500
0.6047 0.0000 0.2500
0.0000 0.6047 0.7500
```

***

Run Q
This record from Alexandria describes crystalline Zr5W3 at its relaxed geometry. The functional is PBE-GGA.

```
Zr5W3
1.0
5.4385 0.0095 -0.0095
2.7329 7.7486 0.0187
-2.7329 0.0187 7.7487
Zr W
10 6
direct
0.7504 0.5071 0.5075
0.2504 0.4929 0.4933
0.2148 0.8550 0.2995
0.7860 0.1451 0.7014
0.2860 0.2991 0.8554
0.7148 0.7009 0.1456
0.4203 0.8535 0.7020
0.5805 0.1465 0.2987
0.9203 0.2983 0.1468
0.0805 0.7017 0.8539
0.2503 0.0009 0.0014
0.7502 0.9989 0.9994
0.7018 0.4986 0.8442
0.2991 0.5015 0.1567
0.7992 0.8438 0.4990
0.2020 0.1563 0.5019
```

***

Run R
This record from Alexandria describes crystalline Zr5W3 at its relaxed geometry. The functional is PBE-GGA.

```
Zr5W3
1.0
-5.8297 0.5120 -1.1541
0.7537 -4.0134 4.3479
-0.3362 3.4206 3.2157
Zr W
5 3
direct
0.0000 0.0000 0.0000
0.5000 0.0000 0.0000
0.0000 0.5000 0.0000
0.7288 0.7288 0.5000
0.2712 0.2712 0.5000
0.5000 0.5000 0.0000
0.7628 0.2372 0.5000
0.2372 0.7628 0.5000
```

***

Relative energy of each structure, in meV/atom: run P 49; run Q 44; run R 0.

***

Run P
This record from Alexandria describes crystalline Zr4W3 at its relaxed geometry. The functional is PBE-GGA.

```
Zr4W3
1.0
-1.6464 1.6464 12.6997
1.6464 -1.6464 12.6997
1.6464 1.6464 -12.6997
Zr W
4 3
direct
0.8499 0.8499 0.0000
0.5656 0.5656 0.0000
0.4344 0.4344 0.0000
0.1501 0.1501 0.0000
0.0000 0.0000 0.0000
0.7219 0.7219 0.0000
0.2781 0.2781 0.0000
```

***

Run Q
This record from Alexandria describes crystalline Zr4W3 at its relaxed geometry. The functional is PBE-GGA.

```
Zr4W3
1.0
5.3218 0.0000 0.0000
2.6609 4.6088 0.0000
0.0000 0.0000 5.6742
W Zr
3 4
direct
0.5000 0.5000 0.0000
0.0000 0.5000 0.0000
0.5000 0.0000 0.0000
0.0000 0.0000 0.2636
0.0000 0.0000 0.7364
0.3333 0.3333 0.5000
0.6667 0.6667 0.5000
```

***

Relative energy of each structure, in meV/atom: run P 120; run Q 0.